First-principles (PBE-GGA) data for NaCaN3 after structural relaxation, as listed in the Alexandria database.

Output
Raw formation energy = 1.70 eV per atom
Crystal system = cubic
DOS(E_F) = 2.47 states/eV per cell
Spin magnetization = 1.200 μB/atom

Unit cell a=4.2507 b=4.2507 c=4.2507 alpha=90.00 beta=90.00 gamma=90.00
With the nearest neighbours (Å) after each atom.
Space group Pm-3m (No. 221)
Symmetry-distinct sites (fractional):
Na1 0.0000 0.0000 0.0000 [1 per cell]  6 N 2.13
Ca1 0.5000 0.5000 0.5000 [1 per cell]  12 N 3.01
N1 0.0000 0.0000 0.5000 [3 per cell]  2 Na 2.13

---

First-principles (PBE-GGA) data for Ca2SiIrPd after structural relaxation, as listed in the Alexandria database.

Output
Raw formation energy = 0.18 eV per atom
Crystal system = tetragonal
DOS(E_F) = 2.42 states/eV per cell
Spin magnetization = 0.000 μB/atom

Unit cell a=5.2820 b=5.2820 c=4.4776 alpha=90.00 beta=90.00 gamma=90.00
With the nearest neighbours (Å) after each atom.
Space group P4/mmm (No. 123)
Symmetry-distinct sites (fractional):
Ca1 0.0000 0.5000 0.0000 [2 per cell]  2 Pd 2.64
Si1 0.0000 0.0000 0.5000 [1 per cell]  2 Pd 2.24
Ir1 0.5000 0.5000 0.5000 [1 per cell]  8 Ca 3.46, 4 Si 3.73
Pd1 0.0000 0.0000 0.0000 [1 per cell]  2 Si 2.24

---

Question: What is the raw formation energy in the second record?
Answer: 0.18 eV per atom

---

Question: What is the DOS(E_F) in the second record?
Answer: 2.42 states/eV per cell

---

Question: Which formula does entry 2 have?
Answer: Ca2SiIrPd

---

Question: Look up the spin magnetization of the first one.
Answer: 1.200 μB/atom